Computed, not measured: SmCoPO after structural relaxation at the GGA+U level of DFT.

Energy above the lowest structure with this stoichiometry ... 1.431 eV per atom
Uncorrected energy ... -5.3523 eV/atom

Lattice parameters (Å, degrees): 4.4157 4.4157 8.4552 90.00 90.00 90.00
Closest atoms and distances in Å follow each position.
Element x y z (fractional)
Co (0.0000, 0.5000, 0.0218)  4 O 2.22, 1 P 2.43
Co (0.5000, 0.0000, 0.9782)  4 O 2.22, 1 P 2.43
O (0.0000, 0.0000, 0.0000)  4 Co 2.22
O (0.5000, 0.5000, 0.0000)  4 Co 2.22
P (0.0000, 0.5000, 0.3093)  1 Co 2.43
P (0.5000, 0.0000, 0.6907)  1 Co 2.43
Sm (0.0000, 0.0000, 0.5000)  4 P 2.73
Sm (0.5000, 0.5000, 0.5000)  4 P 2.73